(1)
Below is a relaxed structure of ScFeCu4Si2, with properties calculated at the PBE level.

Unit cell a=4.167 b=4.167 c=5.872 alpha=90.00 beta=90.00 gamma=90.00
Fractional coordinates of all 8 atoms:
Cu: 0.500 0.000 0.233
Cu: 0.000 0.500 0.233
Cu: 0.500 0.000 0.767
Cu: 0.000 0.500 0.767
Fe: 0.500 0.500 0.000
Sc: 0.000 0.000 0.500
Si: 0.000 0.000 0.000
Si: 0.500 0.500 0.500

Results
Calculated volume ... 12.747 Å³ per atom

***

(2)
Below is a relaxed structure of ScFeCu4Sn2, with properties calculated at the PBE level.

Unit cell a=4.461 b=4.461 c=6.238 alpha=90.00 beta=90.00 gamma=90.00
Fractional coordinates of all 8 atoms:
Cu: 0.500 0.000 0.267
Cu: 0.000 0.500 0.267
Cu: 0.500 0.000 0.733
Cu: 0.000 0.500 0.733
Fe: 0.000 0.000 0.500
Sc: 0.500 0.500 0.000
Sn: 0.000 0.000 0.000
Sn: 0.500 0.500 0.500

Results
Calculated volume ... 15.516 Å³ per atom

***

(3)
Below is a relaxed structure of ScFeCuTe, with properties calculated at the PBE level.

Unit cell a=4.641 b=4.641 c=4.641 alpha=60.00 beta=60.00 gamma=60.00
Fractional coordinates of all 4 atoms:
Cu: 0.750 0.750 0.750
Fe: 0.000 0.000 0.000
Sc: 0.250 0.250 0.250
Te: 0.500 0.500 0.500

Results
Calculated volume ... 17.672 Å³ per atom
Distance to the lowest polymorph of the same formula ... 0.1407 eV per atom

***

(4)
Below is a relaxed structure of ScFeCuTe, with properties calculated at the PBE level.

Unit cell a=4.463 b=4.463 c=4.463 alpha=60.00 beta=60.00 gamma=60.00
Fractional coordinates of all 4 atoms:
Cu: 0.750 0.750 0.750
Fe: 0.250 0.250 0.250
Sc: 0.000 0.000 0.000
Te: 0.500 0.500 0.500

Results
Calculated volume ... 15.711 Å³ per atom
Distance to the lowest polymorph of the same formula ... 0.0000 eV per atom

***

What are the total energy values for these records? In order: -5.111 -4.734 -5.238 -5.379 eV per atom.